No. 1
The following is a DFT calculation (PBEsol) of a relaxed Y2CdC crystal.

Structure (POSCAR):
```
Y2CdC
1.0
-3.123 0.228 3.674
-4.677 -0.935 -0.746
-1.962 -4.047 1.754
Y C Cd
2 1 1
Direct
0.250 0.250 0.250
0.750 0.750 0.750
0.000 0.000 0.000
0.500 0.500 0.500
```

=====

No. 2
The following is a DFT calculation (PBEsol) of a relaxed YCd3C crystal.

Structure (POSCAR):
```
YCd3C
1.0
-4.533 0.486 -0.989
0.290 -3.511 -3.058
-1.063 -3.033 3.381
Y C Cd
1 1 3
Direct
0.500 0.500 0.500
0.000 0.000 0.000
0.000 0.500 0.000
0.000 0.000 0.500
0.500 0.000 0.000
```

=====

No. 3
The following is a DFT calculation (PBEsol) of a relaxed YCdC3 crystal.

Structure (POSCAR):
```
YCdC3
1.0
4.432 0.000 0.000
0.000 4.432 0.000
0.000 0.000 4.432
Y C Cd
1 3 1
Direct
0.000 0.000 0.000
0.000 0.500 0.000
0.000 0.000 0.500
0.500 0.000 0.000
0.500 0.500 0.500
```

=====

No. 4
Y3CdC | the Alexandria database | PBEsol | optimized geometry; ΔE to the lowest computed polymorph = 0.064 eV per formula unit
1.0
4.871 0.000 0.000
0.000 4.871 0.000
0.000 0.000 4.871
Y C Cd
3 1 1
Direct
0.000 0.500 0.000
0.000 0.000 0.500
0.500 0.000 0.000
0.000 0.000 0.000
0.500 0.500 0.500

=====

Computed values of E_form (unit: eV/atom) for the preceding records, in sequence: 0.510 0.651 2.631 -0.365.
Computed values of E_tot (unit: eV per atom) for the preceding records, in sequence: -5.611 -3.361 -4.759 -6.627.